This record from Alexandria via LeMat-Bulk describes a relaxed structure of AlCdIO2. The functional is PBE.

Summary:
Raw formation energy   0.198 eV per atom
Crystal system   tetragonal
Relative energy among the computed polymorphs   1064.3 meV per atom
Fermi-level density of states   5.971 states/eV per cell

Cell lengths 4.2191, 4.2191, 6.2503 Å; angles 90.00, 90.00, 90.00 degrees
With the nearest neighbours (Å) after each atom.
Space group P4/mmm (No. 123)
One atom of each set of equivalent atoms:
Al 0.0000 0.0000 0.0000 x1  4 I 2.98
Cd 0.5000 0.5000 0.5000 x1  4 O 2.11
I 0.5000 0.5000 0.0000 x1  4 Al 2.98, 2 Cd 3.13
O 0.0000 0.5000 0.5000 x2  2 Cd 2.11